1.
Material: Nd4TcPd
Method: DFT, PBE
State: relaxed

energy of formation: -253 meV/atom
SG: P-1
calculated total energy: -6.02 eV/atom
size of the total moment: 0.00 Bohr magnetons per cell

Geometry as CIF:
```
data_Nd4TcPd
_chemical_formula_sum 'Nd8 Tc2 Pd2'
_space_group_name_H-M_alt 'P 1'
_space_group_IT_number 1
_cell_length_a 6.534
_cell_length_b 7.926
_cell_length_c 8.098
_cell_angle_alpha 114.09
_cell_angle_beta 107.94
_cell_angle_gamma 100.76
loop_
_space_group_symop_operation_xyz
'x,y,z'
loop_
_atom_site_label
_atom_site_fract_x
_atom_site_fract_y
_atom_site_fract_z
_atom_site_occupancy
Nd1 0.012 0.231 0.363 1
Nd2 0.202 0.295 0.847 1
Nd3 0.354 0.634 0.365 1
Nd4 0.358 0.950 0.154 1
Nd5 0.642 0.050 0.846 1
Nd6 0.646 0.366 0.635 1
Nd7 0.798 0.705 0.153 1
Nd8 0.988 0.769 0.637 1
Tc1 0.253 0.003 0.507 1
Tc2 0.747 0.997 0.493 1
Pd1 0.383 0.633 0.768 1
Pd2 0.617 0.367 0.232 1
```

***

2.
Material: Nd8TcPd2
Method: DFT, PBE
State: relaxed

energy of formation: -230 meV/atom
SG: C2/m
calculated total energy: -5.58 eV/atom
size of the total moment: 0.00 Bohr magnetons per cell

Geometry as CIF:
```
data_Nd8TcPd2
_chemical_formula_sum 'Nd8 Tc1 Pd2'
_space_group_name_H-M_alt 'P 1'
_space_group_IT_number 1
_cell_length_a 9.291
_cell_length_b 9.291
_cell_length_c 7.046
_cell_angle_alpha 103.94
_cell_angle_beta 103.94
_cell_angle_gamma 32.40
loop_
_space_group_symop_operation_xyz
'x,y,z'
loop_
_atom_site_label
_atom_site_fract_x
_atom_site_fract_y
_atom_site_fract_z
_atom_site_occupancy
Nd1 0.028 0.028 0.288 1
Nd2 0.200 0.200 0.822 1
Nd3 0.336 0.336 0.527 1
Nd4 0.410 0.410 0.051 1
Nd5 0.590 0.590 0.949 1
Nd6 0.664 0.664 0.473 1
Nd7 0.800 0.800 0.178 1
Nd8 0.972 0.972 0.712 1
Tc1 0.500 0.500 0.500 1
Pd1 0.189 0.189 0.224 1
Pd2 0.811 0.811 0.776 1
```

***

3.
Material: NdThTcPd
Method: DFT, PBE
State: relaxed

energy of formation: -305 meV/atom
SG: F-43m
calculated total energy: -7.24 eV/atom
size of the total moment: 0.00 Bohr magnetons per cell

Geometry as CIF:
```
data_NdThTcPd
_chemical_formula_sum 'Nd4 Th4 Tc4 Pd4'
_space_group_name_H-M_alt 'P 1'
_space_group_IT_number 1
_cell_length_a 7.165
_cell_length_b 7.165
_cell_length_c 7.165
_cell_angle_alpha 90.00
_cell_angle_beta 90.00
_cell_angle_gamma 90.00
loop_
_space_group_symop_operation_xyz
'x,y,z'
loop_
_atom_site_label
_atom_site_fract_x
_atom_site_fract_y
_atom_site_fract_z
_atom_site_occupancy
Nd1 0.000 0.000 0.000 1
Nd2 0.000 0.500 0.500 1
Nd3 0.500 0.000 0.500 1
Nd4 0.500 0.500 0.000 1
Th1 0.000 0.000 0.500 1
Th2 0.000 0.500 0.000 1
Th3 0.500 0.000 0.000 1
Th4 0.500 0.500 0.500 1
Tc1 0.250 0.250 0.750 1
Tc2 0.250 0.750 0.250 1
Tc3 0.750 0.250 0.250 1
Tc4 0.750 0.750 0.750 1
Pd1 0.250 0.250 0.250 1
Pd2 0.250 0.750 0.750 1
Pd3 0.750 0.250 0.750 1
Pd4 0.750 0.750 0.250 1
```